Material: BaMgTl2Hg4
Method: DFT, GGA-PBE
State: relaxed

Unit cell a=5.2624 b=5.2624 c=28.4945 alpha=90.00 beta=90.00 gamma=120.00
Space group R-3m (No. 166, hexagonal axes)
Unique sites:
Ba  0.0000  0.0000  0.0000
Mg  0.0000  0.0000  0.5000
Tl  0.0000  0.0000  0.2476
Hg  0.0000  0.0000  0.1339
Hg  0.0000  0.0000  0.3940

Material: Pm5Er2Tl4
Method: DFT, GGA-PBE
State: relaxed

Unit cell a=3.608 b=4.738 c=40.163 alpha=90.00 beta=90.00 gamma=90.00
Space group Immm (No. 71)
Unique sites:
Pm  0.000  0.000  0.000
Pm  0.000  0.000  0.276
Pm  0.000  0.000  0.361
Er  0.000  0.500  0.060
Tl  0.000  0.000  0.185
Tl  0.000  0.500  0.420

no.,raw total energy (eV/atom)
1,-1.4000
2,-3.9514